(1)
A plane-wave DFT calculation with PBE was carried out for ZrCd2Ni after structural relaxation.

Summary:
**N(E_F)**: 0.914 states/eV/atom
**Total magnetization**: 0.00 μB per formula unit
**Energy**: -3.896 eV per atom

Structure (extended XYZ):
```
4
Lattice="-4.8206 0.3984 1.4831 3.3467 -3.2392 3.6357 0.5120 1.8910 2.1901" Properties=species:S:1:pos:R:3 pbc="T T T"
Cd -2.1543 1.1447 1.8366
Cd 0.0000 0.0000 0.0000
Ni 1.9293 -0.6741 2.9129
Zr -0.7370 -1.4204 2.5594
```

=====

(2)
A plane-wave DFT calculation with PBE was carried out for ZrCdNi after structural relaxation.

Summary:
**N(E_F)**: 1.191 states/eV/atom
**Total magnetization**: 0.00 μB per formula unit
**Energy**: -5.246 eV per atom

Structure (extended XYZ):
```
3
Lattice="-2.1379 5.5148 0.7433 -4.0081 3.6705 2.4492 1.3476 1.0585 2.6216" Properties=species:S:1:pos:R:3 pbc="T T T"
Ni -1.1139 3.7280 2.8092
Cd -6.0079 9.0356 3.1820
Zr -3.8226 6.6655 3.0155
```

=====

(3)
A plane-wave DFT calculation with PBE was carried out for ZrCdNi2 after structural relaxation.

Summary:
**N(E_F)**: 0.683 states/eV/atom
**Total magnetization**: 0.00 μB per formula unit
**Energy**: -5.029 eV per atom

Structure (extended XYZ):
```
8
Lattice="7.0016 0.0000 0.0000 0.0000 7.0016 0.0000 3.5008 3.5008 2.8512" Properties=species:S:1:pos:R:3 pbc="T T T"
Cd 7.0016 3.5008 1.4256
Ni 1.8069 5.2512 0.7128
Ni 5.1947 1.7504 0.7128
Cd 0.0000 0.0000 0.0000
Zr 3.5008 7.0016 1.4256
Ni 8.7520 8.6955 2.1384
Ni 5.2512 5.3077 2.1384
Zr 3.5008 3.5008 0.0000
```